Record 1
First-principles (PBE) data for an optimized crystal structure of HgSb2As, as listed in Alexandria.

## Properties
Final energy   -3.09 eV per atom
Formation energy without anion corrections   0.21 eV per atom
Mass density   8.01 g/cm³
Energy above the lowest structure with this stoichiometry   175 meV/atom

Unit cell a=6.9080 b=6.9080 c=6.9080 alpha=146.44 beta=143.61 gamma=50.34
Sites, in units of the cell vectors:
Sb 0.9842 0.9842 0.0000
Sb 0.6929 0.1929 0.5000
As 0.5275 0.5275 0.0000
Hg 0.2954 0.7954 0.5000

---

Record 2
First-principles (PBE) data for an optimized crystal structure of CuRe2Hg, as listed in Alexandria.

## Properties
Final energy   -6.86 eV per atom
Mass density   16.56 g/cm³
Formation enthalpy at 0 K   464 meV/atom

Unit cell a=2.8467 b=3.8740 c=5.7868 alpha=90.00 beta=90.00 gamma=90.00
Sites, in units of the cell vectors:
Cu 0.0000 0.0000 0.4926
Hg 0.5000 0.5000 0.7301
Re 0.0000 0.0000 0.0446
Re 0.5000 0.5000 0.2326

---

Record 3
First-principles (PBE) data for an optimized crystal structure of Tb5SmHo8, as listed in Alexandria.

## Properties
Final energy   -4.36 eV per atom
Mass density   8.25 g/cm³
Formation enthalpy at 0 K   248 meV/atom

Unit cell a=8.4050 b=8.4050 c=8.4050 alpha=111.28 beta=105.91 gamma=111.28
Sites, in units of the cell vectors:
Tb 0.0366 0.3225 0.1356
Tb 0.8644 0.9010 0.1868
Tb 0.8132 0.6775 0.7141
Tb 0.5000 0.0000 0.5000
Tb 0.2859 0.0990 0.9634
Sm 0.2500 0.5000 0.7500
Ho 0.1652 0.7389 0.0792
Ho 0.9208 0.0860 0.6597
Ho 0.7245 0.2523 0.3300
Ho 0.6700 0.3945 0.9223
Ho 0.5278 0.6055 0.2755
Ho 0.5737 0.9140 0.8348
Ho 0.3403 0.2611 0.4263
Ho 0.0777 0.7477 0.4722

---

Record 4
First-principles (PBE) data for an optimized crystal structure of CsNa2MgHg, as listed in Alexandria.

## Properties
Final energy   -1.03 eV per atom
Mass density   3.07 g/cm³
Energy above the lowest structure with this stoichiometry   69 meV/atom
Formation enthalpy at 0 K   43 meV/atom

Unit cell a=6.2880 b=6.2880 c=5.5180 alpha=90.00 beta=90.00 gamma=90.00
Sites, in units of the cell vectors:
Cs 0.5000 0.5000 0.5000
Na 0.0000 0.5000 0.0000
Na 0.5000 0.0000 0.0000
Mg 0.0000 0.0000 0.0000
Hg 0.0000 0.0000 0.5000